Tb8Tm4Th | the Alexandria database | PBE-GGA | optimized geometry; theoretical density = 8.62 Mg/m³; DOS(E_F) = 15.09 states/eV per cell; formation enthalpy at 0 K = 0.251 eV/atom; symmetry = R-3m
1.0
6.397 0.000 -3.451
-4.129 5.982 0.000
1.250 0.863 9.971
Tb Th Tm
8 1 4
direct
0.494 0.247 0.295
0.952 0.199 0.705
0.048 0.247 0.295
0.952 0.753 0.705
0.567 0.784 0.351
0.506 0.753 0.705
0.048 0.801 0.295
0.433 0.216 0.649
0.000 0.500 0.500
0.000 0.500 0.000
0.500 0.500 0.000
0.500 0.000 0.000
0.000 0.000 0.000